The following is a PBE-GGA calculation of a geometry-optimized B2MoRh structure, from Alexandria.

Results
Total DFT energy (no corrections), eV/atom: -7.63
Total magnetization, Bohr magnetons per cell: 0.718
Symmetry: Fm-3m, No. 225

CIF file:
```
data_B2MoRh
_chemical_formula_sum 'B2 Mo1 Rh1'
_cell_length_a 3.897
_cell_length_b 3.897
_cell_length_c 3.897
_cell_angle_alpha 60.00
_cell_angle_beta 60.00
_cell_angle_gamma 60.00
_space_group_name_H-M_alt 'P 1'
_space_group_IT_number 1
_space_group_name_Hall 'P 1'
loop_
_atom_site_label
_atom_site_fract_x
_atom_site_fract_y
_atom_site_fract_z
B1 0.250 0.250 0.250
B2 0.750 0.750 0.750
Mo1 0.000 0.000 0.000
Rh1 0.500 0.500 0.500
```